(1)
Sc2CdW: optimized geometry, PBE-GGA.

- Calculated total energy: -26.0 eV for the cell shown
- ΔE_f: 0.145 eV per atom
- Total magnetization: 0.0 μB/cell
- V: 80.0 Å³/f.u.

CIF file:
```
data_Sc2CdW
_chemical_formula_sum 'Sc2 Cd1 W1'
_cell_length_a 5.092
_cell_length_b 5.092
_cell_length_c 3.084
_cell_angle_alpha 90.00
_cell_angle_beta 90.00
_cell_angle_gamma 90.14
_space_group_name_H-M_alt 'P 1'
_space_group_IT_number 1
loop_
_space_group_symop_operation_xyz
'x,y,z'
loop_
_atom_site_label
_atom_site_fract_x
_atom_site_fract_y
_atom_site_fract_z
_atom_site_occupancy
Cd1 0.000 0.500 0.500 1
Sc1 0.000 0.000 0.000 1
Sc2 0.500 0.500 0.000 1
W1 0.500 0.000 0.500 1
```


(2)
SmBeF6: optimized geometry, PBE-GGA.

- Calculated total energy: -44.1 eV for the cell shown
- Formation energy from raw total energies: -295.0 kJ per mole of atoms
- Total magnetization: 1.0 μB/cell
- V: 83.2 Å³/f.u.

CIF file:
```
data_SmBeF6
_chemical_formula_sum 'Sm1 Be1 F6'
_cell_length_a 4.412
_cell_length_b 4.412
_cell_length_c 4.419
_cell_angle_alpha 98.09
_cell_angle_beta 98.09
_cell_angle_gamma 98.14
_space_group_name_H-M_alt 'P 1'
_space_group_IT_number 1
loop_
_space_group_symop_operation_xyz
'x,y,z'
loop_
_atom_site_label
_atom_site_fract_x
_atom_site_fract_y
_atom_site_fract_z
_atom_site_occupancy
Sm1 0.000 0.000 0.000 1
Be1 0.500 0.500 0.500 1
F1 0.218 0.218 0.575 1
F2 0.574 0.218 0.218 1
F3 0.782 0.782 0.425 1
F4 0.782 0.426 0.782 1
F5 0.426 0.782 0.782 1
F6 0.218 0.574 0.218 1
```


(3)
W8Au: optimized geometry, PBE-GGA.

- Calculated total energy: -103.4 eV for the cell shown
- ΔE_f: 0.389 eV per atom
- Total magnetization: 0.0 μB/cell
- V: 147.6 Å³/f.u.

CIF file:
```
data_W8Au
_chemical_formula_sum 'W8 Au1'
_cell_length_a 6.380
_cell_length_b 6.380
_cell_length_c 6.380
_cell_angle_alpha 95.72
_cell_angle_beta 95.72
_cell_angle_gamma 143.20
_space_group_name_H-M_alt 'P 1'
_space_group_IT_number 1
loop_
_space_group_symop_operation_xyz
'x,y,z'
loop_
_atom_site_label
_atom_site_fract_x
_atom_site_fract_y
_atom_site_fract_z
_atom_site_occupancy
W1 0.329 0.000 0.329 1
W2 0.671 0.000 0.671 1
W3 0.000 0.671 0.671 1
W4 0.336 0.664 0.000 1
W5 0.664 0.664 0.327 1
W6 0.000 0.329 0.329 1
W7 0.336 0.336 0.673 1
W8 0.664 0.336 0.000 1
Au1 0.000 0.000 0.000 1
```


(4)
Rb2AgC2: optimized geometry, PBE-GGA.

- Calculated total energy: -14.3 eV for the cell shown
- ΔE_f: 1.794 eV per atom
- Total magnetization: 1.0 μB/cell
- V: 194.9 Å³/f.u.

CIF file:
```
data_Rb2AgC2
_chemical_formula_sum 'Rb2 Ag1 C2'
_cell_length_a 6.156
_cell_length_b 6.156
_cell_length_c 6.737
_cell_angle_alpha 62.82
_cell_angle_beta 62.82
_cell_angle_gamma 90.00
_space_group_name_H-M_alt 'P 1'
_space_group_IT_number 1
loop_
_space_group_symop_operation_xyz
'x,y,z'
loop_
_atom_site_label
_atom_site_fract_x
_atom_site_fract_y
_atom_site_fract_z
_atom_site_occupancy
C1 0.185 0.185 0.630 1
C2 0.815 0.815 0.370 1
Rb1 0.750 0.250 0.500 1
Rb2 0.250 0.750 0.500 1
Ag1 0.000 0.000 0.000 1
```